Record 1
! Tm6As2PtSe3, optimized geometry, DFT GGA-PBE; values from VASP
! Space group: C2/m (12)
! Total DFT energy (no corrections) (eV/atom): -5.9619
! Formation energy from raw total energies (eV per atom): -1.5767
&SYSTEM
  ibrav = 0, nat = 12, ntyp = 4
/
ATOMIC_SPECIES
Se 78.96 Se.upf
As 74.92 As.upf
Tm 168.93 Tm.upf
Pt 195.08 Pt.upf
CELL_PARAMETERS angstrom
4.015 0.000 0.000
0.000 8.173 0.261
-2.007 -2.388 8.565
ATOMIC_POSITIONS angstrom
Se 2.007 4.086 0.130
Se 0.000 5.980 3.137
Se 2.007 -0.196 5.690
As 2.007 3.847 5.882
As 0.000 1.937 2.944
Tm 0.000 5.843 6.016
Tm 2.007 3.896 3.057
Tm 2.007 3.870 8.743
Tm 0.000 1.914 0.083
Tm 2.007 -0.059 2.810
Tm 0.000 1.889 5.769
Pt 2.007 0.000 0.000

Record 2
! Tm4AsPtSe2, optimized geometry, DFT GGA-PBE; values from VASP
! Space group: P2/m (10)
! Total DFT energy (no corrections) (eV/atom): -5.9682
! Formation energy from raw total energies (eV per atom): -1.5250
&SYSTEM
  ibrav = 0, nat = 8, ntyp = 4
/
ATOMIC_SPECIES
Se 78.96 Se.upf
Tm 168.93 Tm.upf
As 74.92 As.upf
Pt 195.08 Pt.upf
CELL_PARAMETERS angstrom
-3.401 -1.553 1.442
0.669 -5.575 -4.425
3.666 -5.039 3.219
ATOMIC_POSITIONS angstrom
Se 0.133 -3.296 2.331
Se 3.666 -5.039 3.219
Tm 1.224 -6.015 1.975
Tm -2.358 -4.236 1.012
Tm 3.293 -7.930 -0.776
Tm -0.289 -6.152 -1.739
As 2.168 -5.307 -0.603
Pt -1.366 -3.564 -1.491

Record 3
! VAs2PtSe, optimized geometry, DFT GGA-PBE; values from VASP
! Space group: P4/mmm (123)
! Total DFT energy (no corrections) (eV/atom): -5.1201
! E above lowest polymorph (meV/atom): 0
! Formation energy from raw total energies (eV per atom): 0.4685
&SYSTEM
  ibrav = 0, nat = 5, ntyp = 4
/
ATOMIC_SPECIES
Pt 195.08 Pt.upf
V 50.94 V.upf
Se 78.96 Se.upf
As 74.92 As.upf
CELL_PARAMETERS angstrom
4.707 0.000 0.000
0.000 4.707 0.000
0.000 0.000 4.618
ATOMIC_POSITIONS angstrom
Pt 2.354 2.354 2.309
V 0.000 0.000 0.000
Se 0.000 0.000 2.309
As 0.000 2.354 0.000
As 2.354 0.000 0.000

Record 4
! Y6As2PtSe3, optimized geometry, DFT GGA-PBE; values from VASP
! Space group: C2/m (12)
! Total DFT energy (no corrections) (eV/atom): -7.0116
! Formation energy from raw total energies (eV per atom): -1.6301
&SYSTEM
  ibrav = 0, nat = 12, ntyp = 4
/
ATOMIC_SPECIES
As 74.92 As.upf
Y 88.91 Y.upf
Se 78.96 Se.upf
Pt 195.08 Pt.upf
CELL_PARAMETERS angstrom
4.081 0.000 0.000
0.000 8.278 0.270
-2.041 -2.414 8.681
ATOMIC_POSITIONS angstrom
As 0.000 1.962 2.982
As 2.041 3.903 5.969
Y 2.041 -0.058 2.873
Y 2.041 3.897 8.862
Y 0.000 1.911 5.850
Y 0.000 5.923 6.078
Y 2.041 3.954 3.101
Y 0.000 1.968 0.089
Se 2.041 -0.206 5.788
Se 0.000 6.071 3.163
Se 2.041 4.139 0.135
Pt 2.041 0.000 0.000

Record 5
! ZnAs2PtSe, optimized geometry, DFT GGA-PBE; values from VASP
! Space group: P4/mmm (123)
! Total DFT energy (no corrections) (eV/atom): -3.4421
! E above lowest polymorph (meV/atom): 0
! Formation energy from raw total energies (eV per atom): 0.5775
&SYSTEM
  ibrav = 0, nat = 5, ntyp = 4
/
ATOMIC_SPECIES
As 74.92 As.upf
Se 78.96 Se.upf
Pt 195.08 Pt.upf
Zn 65.41 Zn.upf
CELL_PARAMETERS angstrom
-0.695 -2.384 -4.139
3.982 -2.599 0.828
-2.909 -3.636 2.583
ATOMIC_POSITIONS angstrom
As 1.991 -1.299 0.414
As -0.348 -1.192 -2.069
Se -1.455 -1.818 1.291
Pt 0.000 0.000 0.000
Zn 0.189 -4.309 -0.364

Record 6
! ZnAs2PtSe, optimized geometry, DFT GGA-PBE; values from VASP
! Space group: P4/mmm (123)
! Total DFT energy (no corrections) (eV/atom): -3.1031
! E above lowest polymorph (meV/atom): 339
! Formation energy from raw total energies (eV per atom): 0.9166
&SYSTEM
  ibrav = 0, nat = 5, ntyp = 4
/
ATOMIC_SPECIES
As 74.92 As.upf
Pt 195.08 Pt.upf
Se 78.96 Se.upf
Zn 65.41 Zn.upf
CELL_PARAMETERS angstrom
-2.657 1.773 -3.464
-2.317 -4.091 -0.317
-3.192 1.557 3.246
ATOMIC_POSITIONS angstrom
As -1.158 -2.046 -0.158
As -1.329 0.886 -1.732
Pt -4.083 -0.381 -0.268
Se -1.596 0.778 1.623
Zn 0.000 0.000 0.000

Record 7
! ZnAsPtSe2, optimized geometry, DFT GGA-PBE; values from VASP
! Space group: P4/mmm (123)
! Total DFT energy (no corrections) (eV/atom): -2.8815
! E above lowest polymorph (meV/atom): 398
! Formation energy from raw total energies (eV per atom): 0.9052
&SYSTEM
  ibrav = 0, nat = 5, ntyp = 4
/
ATOMIC_SPECIES
Pt 195.08 Pt.upf
Se 78.96 Se.upf
As 74.92 As.upf
Zn 65.41 Zn.upf
CELL_PARAMETERS angstrom
-3.275 2.091 2.845
-1.858 -4.320 1.037
2.940 -0.384 3.667
ATOMIC_POSITIONS angstrom
Pt -1.096 -1.307 3.774
Se -1.637 1.046 1.423
Se -0.929 -2.160 0.518
As 1.470 -0.192 1.833
Zn 0.000 0.000 0.000

Record 8
! ZnAsPtSe2, optimized geometry, DFT GGA-PBE; values from VASP
! Space group: P4/mmm (123)
! Total DFT energy (no corrections) (eV/atom): -3.2799
! E above lowest polymorph (meV/atom): 0
! Formation energy from raw total energies (eV per atom): 0.5068
&SYSTEM
  ibrav = 0, nat = 5, ntyp = 4
/
ATOMIC_SPECIES
Se 78.96 Se.upf
Zn 65.41 Zn.upf
Pt 195.08 Pt.upf
As 74.92 As.upf
CELL_PARAMETERS angstrom
5.216 0.000 0.000
0.000 5.216 0.000
0.000 0.000 4.634
ATOMIC_POSITIONS angstrom
Se 0.000 2.608 0.000
Se 2.608 0.000 0.000
Zn 2.608 2.608 2.317
Pt 0.000 0.000 0.000
As 0.000 0.000 2.317

Record 9
! ZrAsPtSe2, optimized geometry, DFT GGA-PBE; values from VASP
! Space group: P4/mmm (123)
! Total DFT energy (no corrections) (eV/atom): -4.7922
! E above lowest polymorph (meV/atom): 213
! Formation energy from raw total energies (eV per atom): 0.4493
&SYSTEM
  ibrav = 0, nat = 5, ntyp = 4
/
ATOMIC_SPECIES
Zr 91.22 Zr.upf
Se 78.96 Se.upf
Pt 195.08 Pt.upf
As 74.92 As.upf
CELL_PARAMETERS angstrom
-4.014 0.680 3.054
-2.848 -2.854 -3.107
1.337 -4.285 2.711
ATOMIC_POSITIONS angstrom
Zr 0.000 0.000 0.000
Se -1.424 -1.427 -1.553
Se -2.007 0.340 1.527
Pt -2.762 -3.229 1.330
As 0.668 -2.143 1.356

Record 10
! ZrAsPtSe2, optimized geometry, DFT GGA-PBE; values from VASP
! Space group: P4/mmm (123)
! Total DFT energy (no corrections) (eV/atom): -5.0048
! E above lowest polymorph (meV/atom): 0
! Formation energy from raw total energies (eV per atom): 0.2368
&SYSTEM
  ibrav = 0, nat = 5, ntyp = 4
/
ATOMIC_SPECIES
Pt 195.08 Pt.upf
Se 78.96 Se.upf
As 74.92 As.upf
Zr 91.22 Zr.upf
CELL_PARAMETERS angstrom
-3.721 1.421 2.904
-2.147 -4.396 -0.600
2.361 -1.679 3.848
ATOMIC_POSITIONS angstrom
Pt 0.000 0.000 0.000
Se -1.860 0.711 1.452
Se -1.074 -2.198 -0.300
As 1.181 -0.839 1.924
Zr -1.753 -2.327 3.076

Record 11
! SiAs2Pt, optimized geometry, DFT GGA-PBE; values from VASP
! Space group: Pmmm (47)
! Total DFT energy (no corrections) (eV/atom): -4.8889
! Formation energy from raw total energies (eV per atom): 0.3019
&SYSTEM
  ibrav = 0, nat = 4, ntyp = 3
/
ATOMIC_SPECIES
As 74.92 As.upf
Pt 195.08 Pt.upf
Si 28.09 Si.upf
CELL_PARAMETERS angstrom
2.877 0.000 0.000
0.000 4.135 0.000
0.000 0.000 5.833
ATOMIC_POSITIONS angstrom
As 0.000 0.000 0.118
As 0.000 0.000 2.799
Pt 1.438 2.068 1.458
Si 1.438 2.068 4.375

Record 12
! SiAsPt2, optimized geometry, DFT GGA-PBE; values from VASP
! Space group: P2/m (10)
! Total DFT energy (no corrections) (eV/atom): -5.8599
! Formation energy from raw total energies (eV per atom): -0.3213
&SYSTEM
  ibrav = 0, nat = 4, ntyp = 3
/
ATOMIC_SPECIES
As 74.92 As.upf
Pt 195.08 Pt.upf
Si 28.09 Si.upf
CELL_PARAMETERS angstrom
-1.359 2.765 0.674
-0.985 0.158 -2.635
-8.045 -3.175 -3.194
ATOMIC_POSITIONS angstrom
As -7.452 -0.880 -4.035
Pt -3.942 -1.359 -2.370
Pt -0.573 -0.149 -0.545
Si -2.937 0.628 -1.120